Here is CrNi6Ir2 after structural relaxation from the Alexandria database. Energies are from PBE.

Computed properties:
* calculated total energy: -6.797 eV/atom
* spin magnetization: 0.0 Bohr magnetons per cell
* theoretical density: 12.2 g/cm3
* space group: No. 12

a b c (Å): 4.2507 4.5147 6.7240
angles (deg): 117.03 108.43 90.00
Fractional coordinates of all 9 atoms:
Ni1 0.1747 0.4929 0.3493
Ni2 0.8253 0.5071 0.6507
Ni3 0.7120 0.8352 0.4239
Ni4 0.2880 0.1648 0.5761
Ni5 0.3910 0.8155 0.7820
Ni6 0.6090 0.1845 0.2180
Cr1 0.5000 0.5000 0.0000
Ir1 0.0610 0.8336 0.1220
Ir2 0.9390 0.1664 0.8780